# 1
## TeRuF2 (PBE)

Data for an optimized crystal structure of TeRuF2.

Summary:
- Total magnetic moment: 2.5 μB per formula unit
- Distance to the lowest polymorph of the same formula: 474 meV per atom
- Calculated total energy: -4.182 eV per atom
- Energy relative to the elements, uncorrected: -142 meV per atom

abc: 4.4076 4.4076 4.4076
angles: 60.00 60.00 60.00
Site moments in Bohr magnetons follow the coordinates.
Fractional positions:
F: 0.2500 0.2500 0.2500  0.07
Ru: 0.0000 0.0000 0.0000  2.39
Te: 0.5000 0.5000 0.5000  -0.12
F: 0.7500 0.7500 0.7500  0.07


# 2
## BaP2HCl (PBE)

Data for an optimized crystal structure of BaP2HCl.

Summary:
- Total magnetic moment: 6.0 μB per formula unit
- Distance to the lowest polymorph of the same formula: 1042 meV per atom
- Calculated total energy: -2.844 eV per atom

abc: 6.6833 6.6833 5.9673
angles: 90.00 90.00 90.00
Site moments in Bohr magnetons follow the coordinates.
Fractional positions:
P: 0.5000 0.0000 0.0000  0.98
P: 0.0000 0.5000 0.0000  0.98
Cl: 0.0000 0.0000 0.5000  0.04
Ba: 0.0000 0.0000 0.0000  0.04
H: 0.5000 0.5000 0.5000  0.38


# 3
## HoTmZn2 (PBE)

Data for an optimized crystal structure of HoTmZn2.

Summary:
- Formation energy: -0.349 eV/atom
- Total magnetic moment: 0.0 μB per formula unit
- Distance to the lowest polymorph of the same formula: 5 meV per atom
- Calculated total energy: -3.248 eV per atom

abc: 3.5568 4.9886 4.9886
angles: 90.00 90.00 90.00
Fractional positions:
Tm: 0.5000 0.0000 0.0000
Ho: 0.5000 0.5000 0.5000
Zn: 0.0000 0.5000 0.0000
Zn: 0.0000 0.0000 0.5000


# 4
## MgHgAs2H (PBE)

Data for an optimized crystal structure of MgHgAs2H.

Summary:
- Total magnetic moment: 0.9 μB per formula unit
- Calculated total energy: -1.998 eV per atom

abc: 4.9823 5.6942 4.9823
angles: 90.00 90.00 90.00
Site moments in Bohr magnetons follow the coordinates.
Fractional positions:
Hg: 0.0000 0.5000 0.0000  0.02
H: 0.5000 0.5000 0.5000  0.36
Mg: 0.0000 0.0000 0.0000  0.00
As: 0.5000 0.0000 0.0000  0.00
As: 0.0000 0.0000 0.5000  -0.01


# 5
## CePr2Ga6 (PBE)

Data for an optimized crystal structure of CePr2Ga6.

Summary:
- Formation energy: -0.652 eV/atom
- Total magnetic moment: 0.7 μB per formula unit
- Distance to the lowest polymorph of the same formula: 0 meV per atom
- Calculated total energy: -4.391 eV per atom

abc: 4.3017 7.4274 7.4274
angles: 120.00 90.00 90.00
Site moments in Bohr magnetons follow the coordinates.
Fractional positions:
Ga: 0.5000 0.3322 0.3322  0.00
Pr: 0.0000 0.6667 0.3333  0.00
Ga: 0.5000 0.6678 0.6678  0.00
Ga: 0.5000 0.0000 0.6678  0.00
Pr: 0.0000 0.3333 0.6667  0.00
Ga: 0.5000 0.0000 0.3322  0.00
Ce: 0.0000 0.0000 0.0000  0.63
Ga: 0.5000 0.6678 0.0000  0.00
Ga: 0.5000 0.3322 0.0000  0.00


# 6
## RbPtS2 (PBE)

Data for an optimized crystal structure of RbPtS2.

Summary:
- Total magnetic moment: 0.0 μB per formula unit
- Calculated total energy: -3.366 eV per atom
- Energy relative to the elements, uncorrected: 450 meV per atom

abc: 4.8610 4.8610 4.8610
angles: 60.00 60.00 60.00
Fractional positions:
Pt: 0.5000 0.5000 0.5000
S: 0.2500 0.2500 0.2500
Rb: 0.0000 0.0000 0.0000
S: 0.7500 0.7500 0.7500


# 7
## YTeN2Cl (PBE)

Data for an optimized crystal structure of YTeN2Cl.

Summary:
- Total magnetic moment: 3.5 μB per formula unit
- Distance to the lowest polymorph of the same formula: 0 meV per atom
- Calculated total energy: -4.854 eV per atom
- Energy relative to the elements, uncorrected: 766 meV per atom

abc: 4.4699 4.4699 6.4323
angles: 90.00 90.00 90.00
Site moments in Bohr magnetons follow the coordinates.
Fractional positions:
Cl: 0.5000 0.5000 0.5000  -0.03
Y: 0.0000 0.0000 0.0000  0.06
Te: 0.0000 0.0000 0.5000  0.05
N: 0.0000 0.5000 0.0000  1.16
N: 0.5000 0.0000 0.0000  1.16


# 8
## Pa2BRu (PBE)

Data for an optimized crystal structure of Pa2BRu.

Summary:
- Formation energy: 0.195 eV/atom
- Total magnetic moment: 0.0 μB per formula unit
- Calculated total energy: -8.541 eV per atom

abc: 3.3539 3.3539 8.3867
angles: 78.47 78.47 60.00
Fractional positions:
Pa: 0.8981 0.8981 0.3056
B: 0.5000 0.5000 0.5000
Ru: 0.0000 0.0000 0.0000
Pa: 0.1019 0.1019 0.6944